Entry 1:
Li2Mg2NiPtPb2 PBE optimized geometry; VASP energy = -3.579 eV/atom; V = 140.3 Å³ per cell
1.0
4.6196 0.0000 0.0000
0.0000 4.6196 0.0000
0.0000 0.0000 6.5720
Li Mg Ni Pt Pb
2 2 1 1 2
direct
0.0000 0.0000 0.0000
0.5000 0.5000 0.5000
0.0000 0.5000 0.2458
0.5000 0.0000 0.7542
0.0000 0.0000 0.5000
0.5000 0.5000 0.0000
0.0000 0.5000 0.7320
0.5000 0.0000 0.2680



Entry 2:
La2Sm2C2Br3Cl2 PBE optimized geometry; VASP energy = -5.742 eV/atom; V = 309.1 Å³ per cell
1.0
9.6942 -1.9843 0.0000
9.6942 1.9843 0.0000
-2.0966 0.0000 8.0347
La Sm C Br Cl
2 2 2 3 2
direct
0.0005 0.0005 0.2046
0.9995 0.9995 0.7954
0.3440 0.3440 0.8962
0.6560 0.6560 0.1038
0.4626 0.4626 0.9763
0.5374 0.5374 0.0237
0.1704 0.1704 0.8446
0.5000 0.5000 0.5000
0.8296 0.8296 0.1554
0.1610 0.1610 0.3422
0.8390 0.8390 0.6578



Entry 3:
HoScIr PBE optimized geometry; V = 264.3 Å³ per cell; formation energy = 0.009 eV per atom
1.0
6.4175 0.0000 0.0000
0.0000 6.4175 0.0000
0.0000 0.0000 6.4175
Ho Sc Ir
4 4 4
direct
0.0000 0.0000 0.0000
0.0000 0.5000 0.5000
0.5000 0.0000 0.5000
0.5000 0.5000 0.0000
0.2500 0.2500 0.2500
0.2500 0.7500 0.7500
0.7500 0.2500 0.7500
0.7500 0.7500 0.2500
0.0000 0.0000 0.5000
0.0000 0.5000 0.0000
0.5000 0.0000 0.0000
0.5000 0.5000 0.5000